## CrIn2F (GGA+U)

Data for a geometry-optimized CrIn2F structure.

Properties
DOS at the Fermi energy in states/eV per atom: 0.330
Total magnetic moment in μB/atom: 1.18
E in eV per atom: -4.14

Unit cell a=7.4090 b=7.4090 c=6.3405 alpha=90.00 beta=90.00 gamma=90.00
Fractional positions:
Cr  0.0000  0.0000  0.0000
Cr  0.0000  0.5000  0.2500
Cr  0.5000  0.0000  0.7500
Cr  0.5000  0.5000  0.5000
In  0.1999  0.2500  0.6250
In  0.2500  0.6999  0.8750
In  0.2500  0.8001  0.3750
In  0.3001  0.2500  0.1250
In  0.6999  0.7500  0.1250
In  0.7500  0.1999  0.3750
In  0.7500  0.3001  0.8750
In  0.8001  0.7500  0.6250
F  0.0000  0.0000  0.5000
F  0.0000  0.5000  0.7500
F  0.5000  0.0000  0.2500
F  0.5000  0.5000  0.0000